Entry 1:
Below is crystalline Cs2Hg3Bi at its relaxed geometry, with properties calculated at the GGA-PBE level.

Output
* SG: Fmmm (69)
* M_tot: 0.00 μB per cell
* crystal system: orthorhombic
* energy of formation from the pure elements: -0.304 eV per atom
* E above lowest polymorph: 0 meV/atom

a = 7.5558 Å, b = 7.5558 Å, c = 10.6852 Å
α = 110.65°, β = 110.65°, γ = 90.14°
Positions (direct):
Bi 0.6631 0.6631 0.3262
Hg 0.3360 0.3360 0.1669
Hg 0.6640 0.6640 0.8331
Hg 0.1699 0.1699 0.3397
Cs 0.7663 0.2337 0.0000
Bi 0.3369 0.3369 0.6738
Cs 0.2500 0.7500 0.5000
Hg 0.8301 0.8301 0.6603
Hg 0.1691 0.1691 0.8331
Cs 0.2337 0.7663 0.0000
Hg 0.8309 0.8309 0.1669
Cs 0.7500 0.2500 0.5000


Entry 2:
Below is crystalline Cs2Hg3Bi at its relaxed geometry, with properties calculated at the GGA-PBE level.

Output
* SG: Pmm2 (25)
* M_tot: 0.00 μB per cell
* crystal system: orthorhombic
* energy of formation from the pure elements: -0.295 eV per atom
* E above lowest polymorph: 9 meV/atom

a = 5.6291 Å, b = 5.1703 Å, c = 9.2276 Å
α = 90.00°, β = 90.00°, γ = 90.00°
Positions (direct):
Cs 0.0000 0.5000 0.0087
Hg 0.5000 0.0000 0.8386
Hg 0.5000 0.5000 0.6591
Bi 0.5000 0.5000 0.3315
Hg 0.5000 0.0000 0.1688
Cs 0.0000 0.0000 0.4933


Entry 3:
Below is crystalline CsHg2Bi at its relaxed geometry, with properties calculated at the GGA-PBE level.

Output
* SG: Pnma (62)
* M_tot: 0.00 μB per cell
* crystal system: orthorhombic
* energy of formation from the pure elements: -0.244 eV per atom

a = 9.1801 Å, b = 5.5867 Å, c = 11.8013 Å
α = 90.01°, β = 90.00°, γ = 90.00°
Positions (direct):
Hg 0.1767 0.2499 0.0148
Hg 0.6239 0.7500 0.3538
Hg 0.3233 0.7499 0.5148
Hg 0.1239 0.7500 0.1462
Hg 0.8233 0.7501 0.9852
Hg 0.3761 0.2500 0.6462
Hg 0.6767 0.2501 0.4852
Bi 0.4917 0.7500 0.0656
Hg 0.8761 0.2500 0.8538
Cs 0.6765 0.7500 0.6924
Bi 0.9917 0.7500 0.4344
Cs 0.8235 0.2500 0.1924
Cs 0.3235 0.2500 0.3076
Bi 0.5083 0.2500 0.9344
Cs 0.1765 0.7500 0.8076
Bi 0.0083 0.2500 0.5656


Entry 4:
Below is crystalline Cs2Hg5Bi3 at its relaxed geometry, with properties calculated at the GGA-PBE level.

Output
* SG: Ibam (72)
* M_tot: 0.00 μB per cell
* crystal system: orthorhombic
* energy of formation from the pure elements: -0.195 eV per atom

a = 7.6305 Å, b = 10.4822 Å, c = 10.4822 Å
α = 72.08°, β = 68.66°, γ = 68.66°
Positions (direct):
Cs 0.1241 0.6146 0.1371
Bi 0.1370 0.2482 0.4778
Cs 0.6241 0.1371 0.6146
Bi 0.7500 0.0000 0.0000
Hg 0.7500 0.5000 0.5000
Bi 0.3630 0.5222 0.7518
Hg 0.8819 0.9742 0.2620
Bi 0.6370 0.4778 0.2482
Bi 0.8630 0.7518 0.5222
Hg 0.0218 0.2282 0.2282
Cs 0.8759 0.3854 0.8629
Hg 0.9782 0.7718 0.7718
Hg 0.4782 0.7718 0.7718
Hg 0.2500 0.5000 0.5000
Hg 0.5218 0.2282 0.2282
Bi 0.2500 0.0000 0.0000
Hg 0.3819 0.2620 0.9742
Hg 0.6181 0.7380 0.0258
Hg 0.1181 0.0258 0.7380
Cs 0.3759 0.8629 0.3854


Entry 5:
Below is crystalline CsHg4Bi2 at its relaxed geometry, with properties calculated at the GGA-PBE level.

Output
* SG: Cmmm (65)
* M_tot: 0.00 μB per cell
* crystal system: orthorhombic
* energy of formation from the pure elements: -0.121 eV per atom

a = 5.6731 Å, b = 5.8068 Å, c = 7.9974 Å
α = 111.29°, β = 90.00°, γ = 90.00°
Positions (direct):
Hg 0.0000 0.7119 0.4239
Bi 0.5000 0.6061 0.2121
Hg 0.5000 0.8293 0.6585
Hg 0.5000 0.1707 0.3415
Bi 0.5000 0.3939 0.7879
Cs 0.0000 0.0000 0.0000
Hg 0.0000 0.2881 0.5761


Entry 6:
Below is crystalline Cs2HgBi2 at its relaxed geometry, with properties calculated at the GGA-PBE level.

Output
* SG: P4/mbm (127)
* M_tot: 0.00 μB per cell
* crystal system: tetragonal
* energy of formation from the pure elements: -0.200 eV per atom
* E above lowest polymorph: 109 meV/atom

a = 11.3320 Å, b = 11.3320 Å, c = 3.7752 Å
α = 90.00°, β = 90.00°, γ = 90.00°
Positions (direct):
Cs 0.8013 0.3013 0.0000
Bi 0.0923 0.4077 0.5000
Bi 0.4077 0.9077 0.5000
Cs 0.3013 0.1987 0.0000
Cs 0.6987 0.8013 0.0000
Hg 0.5000 0.5000 0.0000
Bi 0.5923 0.0923 0.5000
Hg 0.0000 0.0000 0.0000
Bi 0.9077 0.5923 0.5000
Cs 0.1987 0.6987 0.0000


Entry 7:
Below is crystalline Cs2Hg5Bi2 at its relaxed geometry, with properties calculated at the GGA-PBE level.

Output
* SG: P4/mmm (123)
* M_tot: 0.00 μB per cell
* crystal system: tetragonal
* energy of formation from the pure elements: -0.157 eV per atom

a = 5.8907 Å, b = 5.8907 Å, c = 10.4980 Å
α = 90.00°, β = 90.00°, γ = 90.00°
Positions (direct):
Bi 0.5000 0.5000 0.8585
Hg 0.0000 0.5000 0.2722
Cs 0.0000 0.0000 0.5000
Bi 0.5000 0.5000 0.1415
Hg 0.0000 0.5000 0.7278
Cs 0.0000 0.0000 0.0000
Hg 0.5000 0.5000 0.5000
Hg 0.5000 0.0000 0.2722
Hg 0.5000 0.0000 0.7278


Entry 8:
Below is crystalline Cs2Hg2Bi at its relaxed geometry, with properties calculated at the GGA-PBE level.

Output
* SG: P4/mbm (127)
* M_tot: 0.00 μB per cell
* crystal system: tetragonal
* energy of formation from the pure elements: -0.262 eV per atom
* E above lowest polymorph: 75 meV/atom

a = 8.5084 Å, b = 8.5084 Å, c = 5.8461 Å
α = 90.00°, β = 90.00°, γ = 90.00°
Positions (direct):
Cs 0.1777 0.6777 0.5000
Hg 0.3669 0.8669 0.0000
Cs 0.8223 0.3223 0.5000
Hg 0.1331 0.3669 0.0000
Bi 0.0000 0.0000 0.0000
Bi 0.5000 0.5000 0.0000
Cs 0.3223 0.1777 0.5000
Cs 0.6777 0.8223 0.5000
Hg 0.6331 0.1331 0.0000
Hg 0.8669 0.6331 0.0000


Entry 9:
Below is crystalline Cs4Hg2Bi at its relaxed geometry, with properties calculated at the GGA-PBE level.

Output
* SG: I4/mmm (139)
* M_tot: 0.00 μB per cell
* crystal system: tetragonal
* energy of formation from the pure elements: -0.173 eV per atom

a = 7.7049 Å, b = 7.7049 Å, c = 10.6508 Å
α = 111.21°, β = 111.21°, γ = 90.00°
Positions (direct):
Hg 0.5856 0.5856 0.1712
Hg 0.4144 0.4144 0.8288
Cs 0.5000 0.0000 0.0000
Bi 0.0000 0.0000 0.0000
Cs 0.2002 0.2002 0.4003
Cs 0.0000 0.5000 0.0000
Cs 0.7998 0.7998 0.5997


Entry 10:
Below is crystalline Cs3HgBi at its relaxed geometry, with properties calculated at the GGA-PBE level.

Output
* SG: P2_1/c (14)
* M_tot: 0.00 μB per cell
* crystal system: monoclinic
* energy of formation from the pure elements: -0.345 eV per atom
* E above lowest polymorph: 0 meV/atom

a = 10.2183 Å, b = 8.7159 Å, c = 12.6214 Å
α = 91.43°, β = 90.00°, γ = 90.00°
Positions (direct):
Cs 0.9763 0.7186 0.1012
Hg 0.2542 0.0624 0.0867
Cs 0.4642 0.2277 0.8386
Hg 0.2458 0.0624 0.5867
Cs 0.1784 0.6777 0.3867
Cs 0.5237 0.7186 0.6012
Cs 0.5358 0.7723 0.1614
Hg 0.7458 0.9376 0.9133
Cs 0.3216 0.6777 0.8867
Bi 0.7134 0.5977 0.8693
Cs 0.9642 0.7723 0.6614
Bi 0.2134 0.4023 0.6307
Bi 0.2866 0.4023 0.1307
Bi 0.7866 0.5977 0.3693
Cs 0.8216 0.3223 0.6133
Cs 0.0358 0.2277 0.3386
Cs 0.4763 0.2814 0.3988
Cs 0.0237 0.2814 0.8988
Cs 0.6784 0.3223 0.1133
Hg 0.7542 0.9376 0.4133


Entry 11:
Below is crystalline CsHg6Bi at its relaxed geometry, with properties calculated at the GGA-PBE level.

Output
* SG: P-1 (2)
* M_tot: 0.00 μB per cell
* crystal system: triclinic
* energy of formation from the pure elements: -0.115 eV per atom
* E above lowest polymorph: 12 meV/atom

a = 5.5588 Å, b = 8.0704 Å, c = 8.0744 Å
α = 51.92°, β = 74.50°, γ = 74.62°
Positions (direct):
Hg 0.6826 0.0417 0.5845
Hg 0.8963 0.6247 0.6223
Bi 0.5000 0.5000 0.5000
Hg 0.6841 0.5822 0.0426
Hg 0.1037 0.3753 0.3777
Hg 0.3174 0.9583 0.4155
Hg 0.3159 0.4178 0.9574
Cs 0.0000 0.0000 0.0000


Entry 12:
Below is crystalline Cs5Hg5Bi2 at its relaxed geometry, with properties calculated at the GGA-PBE level.

Output
* SG: C2/m (12)
* M_tot: 0.00 μB per cell
* crystal system: monoclinic
* energy of formation from the pure elements: -0.284 eV per atom

a = 5.2374 Å, b = 9.9792 Å, c = 12.1360 Å
α = 82.84°, β = 77.54°, γ = 74.79°
Positions (direct):
Hg 0.7062 0.2424 0.3452
Cs 0.0000 0.5000 0.5000
Bi 0.3928 0.4528 0.7615
Cs 0.3072 0.3047 0.0808
Bi 0.6072 0.5472 0.2385
Cs 0.6267 0.0759 0.6708
Hg 0.0000 0.0000 0.0000
Cs 0.6928 0.6953 0.9192
Hg 0.9380 0.2913 0.8327
Cs 0.3733 0.9241 0.3292
Hg 0.2938 0.7576 0.6548
Hg 0.0620 0.7087 0.1673